i.
The following is a DFT calculation (GGA-PBE) of an optimized crystal structure of MgAs2P.

## Properties
**D(E_F)**: 1.32 states/eV/f.u.
**SG**: Imm2
**Crystal system**: orthorhombic

a b c (Å): 5.5504 5.5504 5.5504
angles (deg): 143.61 132.77 61.05
With the nearest neighbours (Å) after each atom.
Positions (direct):
As1 0.0151 0.0151 0.0000  2 P 2.58, 2 As 2.82, 4 Mg 2.83
As2 0.7824 0.2824 0.5000  2 As 2.82, 4 P 2.89, 2 Mg 2.96
Mg1 0.4871 0.4871 0.0000  6 As 2.83-2.96, 4 P 3.12
P1 0.2154 0.7154 0.5000  6 As 2.58-2.89

ii.
The following is a DFT calculation (GGA-PBE) of an optimized crystal structure of MgAs2P.

## Properties
**D(E_F)**: 0.98 states/eV/f.u.
**SG**: P2/m
**Crystal system**: monoclinic

a b c (Å): 4.6562 2.8349 5.7060
angles (deg): 86.44 90.00 90.00
With the nearest neighbours (Å) after each atom.
Positions (direct):
As1 0.0000 0.7661 0.0110  4 As 2.72-2.99, 2 P 2.77, 2 Mg 3.03
As2 0.0000 0.7339 0.4890  4 As 2.72-2.99, 2 P 2.77, 2 Mg 3.03
Mg1 0.5000 0.2500 0.2500  2 Mg 2.83, 8 As 3.03-3.07, 2 P 3.11
P1 0.5000 0.7500 0.7500  4 As 2.77, 2 P 2.83

Most stable: i